No. 1
Computed, not measured: crystalline BeGeSbW at its relaxed geometry at the PBE-GGA level of DFT.

Cell lengths 3.4964, 4.7415, 5.1526 Å; angles 74.06, 70.41, 68.46 degrees
With the nearest neighbours (Å) after each atom.
Atoms (fractional coordinates):
Ge: 0.5110 0.8332 0.1540  2 Be 2.32, 3 W 2.54-2.59
Sb: 0.1150 0.2470 0.5370  3 W 2.73-2.76, 1 Be 2.79, 1 Ge 2.82
Be: 0.2143 0.6803 0.8963  2 Ge 2.32, 2 W 2.57-2.58
W: 0.8214 0.2723 0.0940  3 Ge 2.54-2.59, 2 Be 2.57-2.58, 3 Sb 2.73-2.76

Computed properties:
- Energy relative to the elements, uncorrected: 1.313 eV per formula unit
- Polymorph energy (0 for the lowest one): 10.2 kJ per mole of atoms

No. 2
Computed, not measured: crystalline Hf6FeIr5 at its relaxed geometry at the PBE-GGA level of DFT.

Cell lengths 4.6092, 6.5593, 7.2901 Å; angles 90.00, 71.57, 90.00 degrees
With the nearest neighbours (Å) after each atom.
Atoms (fractional coordinates):
Fe: 0.0000 0.0000 0.0000  8 Hf 2.80-2.82
Hf: 0.5000 0.7528 0.0000  6 Ir 2.81-2.87, 2 Fe 2.82
Ir: 0.6657 0.0000 0.6686  8 Hf 2.81-2.86
Ir: 0.6693 0.5000 0.6613  8 Hf 2.82-2.87
Hf: 0.1646 0.2495 0.6708  1 Fe 2.80, 7 Ir 2.81-2.86
Hf: 0.8354 0.2495 0.3292  1 Fe 2.80, 7 Ir 2.81-2.86
Ir: 0.3343 0.0000 0.3314  8 Hf 2.81-2.86
Ir: 0.0000 0.5000 0.0000  8 Hf 2.81-2.84
Hf: 0.1646 0.7505 0.6708  1 Fe 2.80, 7 Ir 2.81-2.86
Hf: 0.8354 0.7505 0.3292  1 Fe 2.80, 7 Ir 2.81-2.86
Hf: 0.5000 0.2472 0.0000  6 Ir 2.81-2.87, 2 Fe 2.82
Ir: 0.3307 0.5000 0.3387  8 Hf 2.82-2.87

Computed properties:
- DFT formation energy: -79.3 kJ per mole of atoms

No. 3
Computed, not measured: crystalline ErBe2Ir2 at its relaxed geometry at the PBE-GGA level of DFT.

Cell lengths 4.1617, 4.1617, 5.2289 Å; angles 113.45, 113.45, 90.00 degrees
With the nearest neighbours (Å) after each atom.
Atoms (fractional coordinates):
Be: 0.8527 0.3527 0.2053  4 Ir 2.26
Ir: 0.7500 0.7500 0.0000  4 Be 2.26
Be: 0.1473 0.6473 0.7947  4 Ir 2.26
Ir: 0.2500 0.2500 0.0000  4 Be 2.26
Er: 0.5000 0.0000 0.5000  8 Ir 3.00, 10 Be 3.05-3.21

Computed properties:
- DFT formation energy: -67.2 kJ per mole of atoms
- Polymorph energy (0 for the lowest one): 0.0 kJ per mole of atoms

Repeat the first record exactly.
Computed, not measured: crystalline BeGeSbW at its relaxed geometry at the PBE-GGA level of DFT.

Cell lengths 3.4964, 4.7415, 5.1526 Å; angles 74.06, 70.41, 68.46 degrees
With the nearest neighbours (Å) after each atom.
Atoms (fractional coordinates):
Ge: 0.5110 0.8332 0.1540  2 Be 2.32, 3 W 2.54-2.59
Sb: 0.1150 0.2470 0.5370  3 W 2.73-2.76, 1 Be 2.79, 1 Ge 2.82
Be: 0.2143 0.6803 0.8963  2 Ge 2.32, 2 W 2.57-2.58
W: 0.8214 0.2723 0.0940  3 Ge 2.54-2.59, 2 Be 2.57-2.58, 3 Sb 2.73-2.76

Computed properties:
- Energy relative to the elements, uncorrected: 1.313 eV per formula unit
- Polymorph energy (0 for the lowest one): 10.2 kJ per mole of atoms

What did the second record say?
Computed, not measured: crystalline Hf6FeIr5 at its relaxed geometry at the PBE-GGA level of DFT.

Cell lengths 4.6092, 6.5593, 7.2901 Å; angles 90.00, 71.57, 90.00 degrees
With the nearest neighbours (Å) after each atom.
Atoms (fractional coordinates):
Fe: 0.0000 0.0000 0.0000  8 Hf 2.80-2.82
Hf: 0.5000 0.7528 0.0000  6 Ir 2.81-2.87, 2 Fe 2.82
Ir: 0.6657 0.0000 0.6686  8 Hf 2.81-2.86
Ir: 0.6693 0.5000 0.6613  8 Hf 2.82-2.87
Hf: 0.1646 0.2495 0.6708  1 Fe 2.80, 7 Ir 2.81-2.86
Hf: 0.8354 0.2495 0.3292  1 Fe 2.80, 7 Ir 2.81-2.86
Ir: 0.3343 0.0000 0.3314  8 Hf 2.81-2.86
Ir: 0.0000 0.5000 0.0000  8 Hf 2.81-2.84
Hf: 0.1646 0.7505 0.6708  1 Fe 2.80, 7 Ir 2.81-2.86
Hf: 0.8354 0.7505 0.3292  1 Fe 2.80, 7 Ir 2.81-2.86
Hf: 0.5000 0.2472 0.0000  6 Ir 2.81-2.87, 2 Fe 2.82
Ir: 0.3307 0.5000 0.3387  8 Hf 2.82-2.87

Computed properties:
- DFT formation energy: -79.3 kJ per mole of atoms